# PBE+U InNiCO2, relaxed
# size of the total moment = 0.182 μB per atom
# total energy = -3.1294 eV/atom
data_InNiCO2
_chemical_formula_sum 'In1 Ni1 C1 O2'
_space_group_name_H-M_alt 'P 4/m m m'
_space_group_IT_number 123
_space_group_name_Hall '-P 4 2'
_cell_length_a 3.8995
_cell_length_b 3.8995
_cell_length_c 5.5862
_cell_angle_alpha 90.00
_cell_angle_beta 90.00
_cell_angle_gamma 90.00
loop_
_atom_site_label
_atom_site_type_symbol
_atom_site_fract_x
_atom_site_fract_y
_atom_site_fract_z
In1 In 0.0000 0.0000 0.0000
Ni1 Ni 0.0000 0.0000 0.5000
C1 C 0.5000 0.5000 0.5000
O1 O 0.0000 0.5000 0.0000